[1]
The following is a DFT calculation (PBE) of crystalline NbW2Cl at its relaxed geometry.

DOS at the Fermi energy (states/eV per cell): 3.5
Total magnetization (μB/f.u.): 0.0
Uncorrected formation energy (eV per atom): 1.182
VASP energy (eV per cell): -33.1

abc: 4.5718 4.5718 4.5718
angles: 60.00 60.00 60.00
Element x y z (fractional)
Cl1 0.0000 0.0000 0.0000
W1 0.2500 0.2500 0.2500
W2 0.7500 0.7500 0.7500
Nb1 0.5000 0.5000 0.5000



[2]
The following is a DFT calculation (PBE) of crystalline AgHgMo2 at its relaxed geometry.

DOS at the Fermi energy (states/eV per cell): 3.3
ΔE_f (eV/atom): 0.511
Total magnetization (μB/f.u.): 0.0
VASP energy (eV per cell): -22.8

abc: 2.7410 4.2826 5.9710
angles: 90.00 90.00 90.00
Element x y z (fractional)
Hg1 0.5000 0.5000 0.7462
Ag1 0.0000 0.0000 0.4974
Mo1 0.0000 0.0000 0.0222
Mo2 0.5000 0.5000 0.2342



[3]
The following is a DFT calculation (PBE) of crystalline Ba2Y2Rh at its relaxed geometry.

DOS at the Fermi energy (states/eV per cell): 13.8
ΔE_f (eV/atom): -0.059
Total magnetization (μB/f.u.): 0.0
VASP energy (eV per cell): -48.8

abc: 7.3654 7.3654 6.6080
angles: 90.00 90.00 90.00
Element x y z (fractional)
Ba1 0.8183 0.3183 0.5000
Ba2 0.3183 0.1817 0.5000
Ba3 0.6817 0.8183 0.5000
Ba4 0.1817 0.6817 0.5000
Y1 0.8287 0.6713 0.0000
Y2 0.6713 0.1713 0.0000
Y3 0.1713 0.3287 0.0000
Y4 0.3287 0.8287 0.0000
Rh1 0.0000 0.0000 0.0000
Rh2 0.5000 0.5000 0.0000



What did the second record say?
The following is a DFT calculation (PBE) of crystalline AgHgMo2 at its relaxed geometry.

DOS at the Fermi energy (states/eV per cell): 3.3
ΔE_f (eV/atom): 0.511
Total magnetization (μB/f.u.): 0.0
VASP energy (eV per cell): -22.8

abc: 2.7410 4.2826 5.9710
angles: 90.00 90.00 90.00
Element x y z (fractional)
Hg1 0.5000 0.5000 0.7462
Ag1 0.0000 0.0000 0.4974
Mo1 0.0000 0.0000 0.0222
Mo2 0.5000 0.5000 0.2342